{"formula": "BaMo2P", "functional": "meta-GGA SCAN", "state": "PBEsol geometry", "lattice_angstrom": [[3.412, 0.000, 0.000], [0.000, 4.500, 0.000], [0.000, 0.000, 4.888]], "species": ["Ba", "Mo", "Mo", "P"], "frac_coords": [[0.000, 0.000, 0.000], [0.000, 0.500, 0.500], [0.500, 0.500, 0.000], [0.500, 0.000, 0.500]], "delta_e_f_ev_per_atom": 1.22}

{"formula": "BaMo2P", "functional": "meta-GGA SCAN", "state": "PBEsol geometry", "lattice_angstrom": [[-1.581, 2.927, 4.716], [1.581, -2.927, 4.716], [1.581, 2.927, -4.716]], "species": ["Ba", "Mo", "Mo", "P"], "frac_coords": [[0.000, 0.000, 0.000], [0.497, 0.497, 0.000], [0.687, 0.187, 0.500], [0.287, 0.787, 0.500]], "delta_e_f_ev_per_atom": 0.80}

{"formula": "BaMo2P", "functional": "meta-GGA SCAN", "state": "PBEsol geometry", "lattice_angstrom": [[4.855, 0.000, 0.000], [0.000, 3.461, 0.000], [-2.427, 0.000, 5.643]], "species": ["Ba", "Mo", "Mo", "P"], "frac_coords": [[0.000, 0.000, 0.000], [0.251, 0.500, 0.606], [0.749, 0.500, 0.394], [0.500, 0.000, 0.500]], "delta_e_f_ev_per_atom": 0.25}

{"formula": "BaSrMo2P", "functional": "meta-GGA SCAN", "state": "PBEsol geometry", "lattice_angstrom": [[5.066, 0.000, 0.000], [0.000, 5.066, 0.000], [0.000, 0.000, 5.553]], "species": ["Ba", "Sr", "Mo", "Mo", "P"], "frac_coords": [[0.000, 0.000, 0.000], [0.500, 0.500, 0.500], [0.000, 0.500, 0.500], [0.500, 0.000, 0.500], [0.500, 0.500, 0.000]], "delta_e_f_ev_per_atom": 1.87}

{"formula": "BaMoPb2W", "functional": "meta-GGA SCAN", "state": "PBEsol geometry", "lattice_angstrom": [[5.369, 0.000, 0.000], [0.000, 5.369, 0.000], [0.000, 0.000, 5.678]], "species": ["Ba", "Mo", "Pb", "Pb", "W"], "frac_coords": [[0.000, 0.000, 0.000], [0.500, 0.500, 0.000], [0.000, 0.500, 0.500], [0.500, 0.000, 0.500], [0.000, 0.000, 0.500]], "delta_e_f_ev_per_atom": 1.31}

{"formula": "BaTeMoPd2", "functional": "meta-GGA SCAN", "state": "PBEsol geometry", "lattice_angstrom": [[5.121, 0.000, 0.000], [0.000, 5.121, 0.000], [0.000, 0.000, 5.491]], "species": ["Ba", "Te", "Mo", "Pd", "Pd"], "frac_coords": [[0.000, 0.000, 0.000], [0.500, 0.500, 0.500], [0.000, 0.000, 0.500], [0.000, 0.500, 0.000], [0.500, 0.000, 0.000]], "raw_formation_energy_kj_per_mol_atoms": 156.9}

{"formula": "Ba2MoPt", "functional": "meta-GGA SCAN", "state": "PBEsol geometry", "lattice_angstrom": [[3.816, 0.000, 0.000], [0.000, 3.816, 0.000], [0.000, 0.000, 7.936]], "species": ["Ba", "Ba", "Mo", "Pt"], "frac_coords": [[0.000, 0.000, 0.226], [0.000, 0.000, 0.774], [0.500, 0.500, 0.500], [0.500, 0.500, 0.000]], "delta_e_f_ev_per_atom": 0.42}

{"formula": "Ba2MoPt", "functional": "meta-GGA SCAN", "state": "PBEsol geometry", "lattice_angstrom": [[-2.303, 2.303, 5.214], [2.303, -2.303, 5.214], [2.303, 2.303, -5.214]], "species": ["Ba", "Ba", "Mo", "Pt"], "frac_coords": [[0.000, 0.000, 0.000], [0.750, 0.250, 0.500], [0.500, 0.500, 0.000], [0.250, 0.750, 0.500]], "delta_e_f_ev_per_atom": 0.60}

{"formula": "BaMo2Pt", "functional": "meta-GGA SCAN", "state": "PBEsol geometry", "lattice_angstrom": [[1.982, -2.030, 0.000], [1.982, 2.030, 0.000], [0.000, 0.000, 9.625]], "species": ["Ba", "Mo", "Mo", "Pt"], "frac_coords": [[0.000, 0.000, 0.000], [0.500, 0.500, 0.299], [0.500, 0.500, 0.701], [0.000, 0.000, 0.500]], "delta_e_f_ev_per_atom": 0.82}

{"formula": "Ba2MoPt", "functional": "meta-GGA SCAN", "state": "PBEsol geometry", "lattice_angstrom": [[2.000, 1.155, 9.003], [-2.000, 1.155, 9.003], [0.000, -2.309, 9.003]], "species": ["Ba", "Ba", "Mo", "Pt"], "frac_coords": [[0.241, 0.241, 0.241], [0.759, 0.759, 0.759], [0.000, 0.000, 0.000], [0.500, 0.500, 0.500]], "delta_e_f_ev_per_atom": 0.63}

{"formula": "BaMoPt", "functional": "meta-GGA SCAN", "state": "PBEsol geometry", "lattice_angstrom": [[0.000, 3.399, 3.399], [3.399, 0.000, 3.399], [3.399, 3.399, 0.000]], "species": ["Ba", "Mo", "Pt"], "frac_coords": [[0.000, 0.000, 0.000], [0.750, 0.750, 0.750], [0.250, 0.250, 0.250]], "delta_e_f_ev_per_atom": 1.48}

{"formula": "BaMo2Pt", "functional": "meta-GGA SCAN", "state": "PBEsol geometry", "lattice_angstrom": [[3.433, 0.000, 0.000], [0.000, 3.433, 0.000], [0.000, 0.000, 7.476]], "species": ["Ba", "Mo", "Mo", "Pt"], "frac_coords": [[0.000, 0.000, 0.000], [0.500, 0.500, 0.347], [0.500, 0.500, 0.653], [0.000, 0.000, 0.500]], "delta_e_f_ev_per_atom": 0.56}

{"formula": "BaMo2Pt", "functional": "meta-GGA SCAN", "state": "PBEsol geometry", "lattice_angstrom": [[3.223, 0.000, 0.000], [0.000, 3.224, 0.000], [-0.594, 0.000, 7.946]], "species": ["Ba", "Mo", "Mo", "Pt"], "frac_coords": [[0.000, 0.000, 0.000], [0.095, 0.000, 0.497], [0.509, 0.500, 0.664], [0.533, 0.500, 0.300]], "delta_e_f_ev_per_atom": 0.29}

{"formula": "Ba2MoPt", "functional": "meta-GGA SCAN", "state": "PBEsol geometry", "lattice_angstrom": [[3.541, 0.000, 0.000], [0.000, 3.541, 0.000], [0.000, 0.000, 9.579]], "species": ["Ba", "Ba", "Mo", "Pt"], "frac_coords": [[0.000, 0.000, 0.000], [0.500, 0.500, 0.411], [0.000, 0.000, 0.677], [0.500, 0.500, 0.757]], "delta_e_f_ev_per_atom": 0.26}

{"formula": "Ba2MoPt", "functional": "meta-GGA SCAN", "state": "PBEsol geometry", "lattice_angstrom": [[-2.734, 2.734, 3.847], [2.734, -2.734, 3.847], [2.734, 2.734, -3.847]], "species": ["Ba", "Ba", "Mo", "Pt"], "frac_coords": [[0.250, 0.750, 0.500], [0.750, 0.250, 0.500], [0.000, 0.000, 0.000], [0.500, 0.500, 0.000]], "delta_e_f_ev_per_atom": 0.51}

{"formula": "RbBa2Mo2", "functional": "meta-GGA SCAN", "state": "PBEsol geometry", "lattice_angstrom": [[-1.832, 1.832, 13.651], [1.832, -1.832, 13.651], [1.832, 1.832, -13.651]], "species": ["Rb", "Ba", "Ba", "Mo", "Mo"], "frac_coords": [[0.000, 0.000, 0.000], [0.353, 0.353, 0.000], [0.647, 0.647, 0.000], [0.250, 0.750, 0.500], [0.750, 0.250, 0.500]], "delta_e_f_ev_per_atom": 0.76}

{"formula": "RbBaTlMo2", "functional": "meta-GGA SCAN", "state": "PBEsol geometry", "lattice_angstrom": [[5.246, 0.000, 0.000], [0.000, 5.246, 0.000], [0.000, 0.000, 6.116]], "species": ["Rb", "Ba", "Tl", "Mo", "Mo"], "frac_coords": [[0.000, 0.000, 0.000], [0.000, 0.000, 0.500], [0.500, 0.500, 0.000], [0.000, 0.500, 0.500], [0.500, 0.000, 0.500]], "delta_e_f_ev_per_atom": 2.24}

{"formula": "BaReMo4", "functional": "meta-GGA SCAN", "state": "PBEsol geometry", "lattice_angstrom": [[0.000, 3.777, 3.777], [3.777, 0.000, 3.777], [3.777, 3.777, 0.000]], "species": ["Ba", "Re", "Mo", "Mo", "Mo", "Mo"], "frac_coords": [[0.000, 0.000, 0.000], [0.750, 0.750, 0.750], [0.375, 0.375, 0.375], [0.375, 0.375, 0.874], [0.375, 0.874, 0.375], [0.874, 0.375, 0.375]], "delta_e_f_ev_per_atom": 1.14}

{"formula": "BaReMo", "functional": "meta-GGA SCAN", "state": "PBEsol geometry", "lattice_angstrom": [[0.000, 3.222, 3.222], [3.222, 0.000, 3.222], [3.222, 3.222, 0.000]], "species": ["Ba", "Re", "Mo"], "frac_coords": [[0.000, 0.000, 0.000], [0.250, 0.250, 0.250], [0.750, 0.750, 0.750]], "delta_e_f_ev_per_atom": 2.95}

{"formula": "BaMo2Rh", "functional": "meta-GGA SCAN", "state": "PBEsol geometry", "lattice_angstrom": [[3.199, 0.000, 0.000], [0.000, 3.199, 0.000], [0.000, 0.000, 7.833]], "species": ["Ba", "Mo", "Mo", "Rh"], "frac_coords": [[0.000, 0.000, 0.000], [0.000, 0.000, 0.501], [0.500, 0.500, 0.337], [0.500, 0.500, 0.691]], "delta_e_f_ev_per_atom": 0.54}

{"formula": "Ba2MoRh", "functional": "meta-GGA SCAN", "state": "PBEsol geometry", "lattice_angstrom": [[3.657, 0.000, 0.000], [0.000, 3.657, 0.000], [0.000, 0.000, 8.196]], "species": ["Ba", "Ba", "Mo", "Rh"], "frac_coords": [[0.000, 0.000, 0.226], [0.000, 0.000, 0.774], [0.500, 0.500, 0.500], [0.500, 0.500, 0.000]], "delta_e_f_ev_per_atom": 0.86}

{"formula": "BaMo3Rh", "functional": "meta-GGA SCAN", "state": "PBEsol geometry", "lattice_angstrom": [[4.824, 0.000, 0.000], [0.000, 4.824, 0.000], [0.000, 0.000, 4.824]], "species": ["Ba", "Mo", "Mo", "Mo", "Rh"], "frac_coords": [[0.000, 0.000, 0.000], [0.000, 0.500, 0.500], [0.500, 0.000, 0.500], [0.500, 0.500, 0.000], [0.500, 0.500, 0.500]], "delta_e_f_ev_per_atom": 1.43}

{"formula": "Ba4MoRh", "functional": "meta-GGA SCAN", "state": "PBEsol geometry", "lattice_angstrom": [[0.000, 4.692, 4.692], [4.692, 0.000, 4.692], [4.692, 4.692, 0.000]], "species": ["Ba", "Ba", "Ba", "Ba", "Mo", "Rh"], "frac_coords": [[0.125, 0.125, 0.125], [0.125, 0.125, 0.626], [0.125, 0.626, 0.125], [0.626, 0.125, 0.125], [0.500, 0.500, 0.500], [0.750, 0.750, 0.750]], "delta_e_f_ev_per_atom": 1.35}

{"formula": "BaMo2Rh", "functional": "meta-GGA SCAN", "state": "PBEsol geometry", "lattice_angstrom": [[3.143, 0.000, 0.000], [0.000, 4.732, 0.000], [-1.531, 0.000, 6.071]], "species": ["Ba", "Mo", "Mo", "Rh"], "frac_coords": [[0.000, 0.000, 0.000], [0.297, 0.500, 0.640], [0.703, 0.500, 0.360], [0.500, 0.000, 0.500]], "delta_e_f_ev_per_atom": 0.75}

{"formula": "BaSrMoRh2", "functional": "meta-GGA SCAN", "state": "PBEsol geometry", "lattice_angstrom": [[5.075, 0.000, 0.000], [0.000, 5.075, 0.000], [0.000, 0.000, 5.171]], "species": ["Ba", "Sr", "Mo", "Rh", "Rh"], "frac_coords": [[0.000, 0.000, 0.000], [0.500, 0.500, 0.500], [0.000, 0.000, 0.500], [0.000, 0.500, 0.000], [0.500, 0.000, 0.000]], "delta_e_f_ev_per_atom": 1.58}

{"formula": "BaMoRu2", "functional": "meta-GGA SCAN", "state": "PBEsol geometry", "lattice_angstrom": [[2.147, 1.240, 5.955], [-2.147, 1.240, 5.955], [0.000, -2.479, 5.955]], "species": ["Ba", "Mo", "Ru", "Ru"], "frac_coords": [[0.000, 0.000, 0.000], [0.191, 0.191, 0.191], [0.485, 0.485, 0.485], [0.812, 0.812, 0.812]], "delta_e_f_ev_per_atom": 0.49}

{"formula": "Ba2MoRu", "functional": "meta-GGA SCAN", "state": "PBEsol geometry", "lattice_angstrom": [[5.029, -1.567, 0.000], [5.029, 1.567, 0.000], [-0.501, 0.000, 5.937]], "species": ["Ba", "Ba", "Mo", "Ru"], "frac_coords": [[0.246, 0.246, 0.244], [0.754, 0.754, 0.756], [0.500, 0.500, 0.500], [0.000, 0.000, 0.000]], "delta_e_f_ev_per_atom": 1.54}

{"formula": "BaMoRu2", "functional": "meta-GGA SCAN", "state": "PBEsol geometry", "lattice_angstrom": [[0.000, 3.275, 3.275], [3.275, 0.000, 3.275], [3.275, 3.275, 0.000]], "species": ["Ba", "Mo", "Ru", "Ru"], "frac_coords": [[0.000, 0.000, 0.000], [0.750, 0.750, 0.750], [0.250, 0.250, 0.250], [0.500, 0.500, 0.500]], "delta_e_f_ev_per_atom": 1.25}

{"formula": "BaMoRu2", "functional": "meta-GGA SCAN", "state": "PBEsol geometry", "lattice_angstrom": [[2.902, 0.000, 0.000], [0.000, 3.677, 0.000], [0.000, 0.000, 7.533]], "species": ["Ba", "Mo", "Ru", "Ru"], "frac_coords": [[0.000, 0.000, 0.000], [0.500, 0.500, 0.363], [0.000, 0.000, 0.508], [0.500, 0.500, 0.686]], "delta_e_f_ev_per_atom": 0.76}

{"formula": "Ba2MoRu", "functional": "meta-GGA SCAN", "state": "PBEsol geometry", "lattice_angstrom": [[4.523, 0.000, 0.000], [0.000, 4.523, 0.000], [0.000, 0.000, 4.906]], "species": ["Ba", "Ba", "Mo", "Ru"], "frac_coords": [[0.000, 0.500, 0.000], [0.500, 0.000, 0.000], [0.000, 0.000, 0.500], [0.500, 0.500, 0.500]], "delta_e_f_ev_per_atom": 1.36}

no.,calculated volume (Å³/atom)
1,18.76
2,21.83
3,23.70
4,28.50
5,32.73
6,28.80
7,28.89
8,27.66
9,19.36
10,31.18
11,26.19
12,22.03
13,20.64
14,30.03
15,28.76
16,36.66
17,33.66
18,17.96
19,22.29
20,20.04
21,27.41
22,22.46
23,34.42
24,22.57
25,26.64
26,23.77
27,23.40
28,17.56
29,20.09
30,25.09